[1]
Computed, not measured: a relaxed AlVFeMo2 crystal at the GGA-PBE level of DFT.

a = 4.4786 Å, b = 4.4786 Å, c = 4.2366 Å
α = 90.00°, β = 90.00°, γ = 90.00°
Last column: nearest neighbours and their distance in Å.
Fractional coordinates of all 5 atoms:
1 Al 0.0000 0.0000 0.0000  8 Mo 3.08, 4 V 3.17
2 V 0.5000 0.5000 0.0000  2 Fe 2.12
3 Fe 0.5000 0.5000 0.5000  2 V 2.12, 4 Mo 2.24
4 Mo 0.0000 0.5000 0.5000  2 Fe 2.24
5 Mo 0.5000 0.0000 0.5000  2 Fe 2.24

Formation energy from the elements, eV/atom: 0.82
Magnetic moment, μB/f.u.: 0.00
DOS(E_F), states/eV per cell: 4.32

[2]
Computed, not measured: a relaxed RbAuCl2 crystal at the GGA-PBE level of DFT.

a = 5.2451 Å, b = 5.2451 Å, c = 5.2451 Å
α = 60.00°, β = 60.00°, γ = 60.00°
Last column: nearest neighbours and their distance in Å.
Fractional coordinates of all 4 atoms:
1 Rb 0.0000 0.0000 0.0000  8 Cl 3.21
2 Au 0.5000 0.5000 0.5000  8 Cl 3.21
3 Cl 0.2500 0.2500 0.2500  4 Au 3.21, 4 Rb 3.21
4 Cl 0.7500 0.7500 0.7500  4 Au 3.21, 4 Rb 3.21

Excess energy over the best structure of this formula in the dataset, eV/f.u.: 1.86
Magnetic moment, μB/f.u.: 0.00
DOS(E_F), states/eV per cell: 0.00
Uncorrected formation energy, eV per atom: -0.65

[3]
Computed, not measured: a relaxed LiReC2 crystal at the GGA-PBE level of DFT.

a = 5.7510 Å, b = 5.7510 Å, c = 5.7510 Å
α = 128.97°, β = 128.97°, γ = 75.05°
Last column: nearest neighbours and their distance in Å.
Fractional coordinates of all 8 atoms:
1 Li 0.0000 0.0000 0.0000  4 C 2.30
2 Li 0.7500 0.2500 0.5000  4 C 2.30
3 Re 0.2500 0.7500 0.5000  4 C 1.91
4 Re 0.5000 0.5000 0.0000  4 C 1.91
5 C 0.1921 0.6250 0.0671  2 Re 1.91
6 C 0.3750 0.4421 0.5671  2 Re 1.91
7 C 0.5579 0.1250 0.9329  2 Re 1.91
8 C 0.8750 0.8079 0.4329  2 Re 1.91

Formation energy from the elements, eV/atom: 0.61
Excess energy over the best structure of this formula in the dataset, eV/f.u.: 0.00
Magnetic moment, μB/f.u.: 0.00
DOS(E_F), states/eV per cell: 0.45

[4]
Computed, not measured: a relaxed Tb4DyRu5 crystal at the GGA-PBE level of DFT.

a = 3.4136 Å, b = 3.4136 Å, c = 17.0164 Å
α = 90.00°, β = 90.00°, γ = 90.00°
Last column: nearest neighbours and their distance in Å.
Fractional coordinates of all 10 atoms:
1 Tb 0.0000 0.0000 0.1001  8 Ru 2.95
2 Tb 0.0000 0.0000 0.3004  8 Ru 2.95-2.96
3 Tb 0.0000 0.0000 0.6996  8 Ru 2.95-2.96
4 Tb 0.0000 0.0000 0.8999  8 Ru 2.95
5 Dy 0.0000 0.0000 0.5000  8 Ru 2.95
6 Ru 0.5000 0.5000 0.0000  8 Tb 2.95
7 Ru 0.5000 0.5000 0.2002  8 Tb 2.95-2.96
8 Ru 0.5000 0.5000 0.4005  4 Dy 2.95, 4 Tb 2.95
9 Ru 0.5000 0.5000 0.5995  4 Dy 2.95, 4 Tb 2.95
10 Ru 0.5000 0.5000 0.7998  8 Tb 2.95-2.96

Formation energy from the elements, eV/atom: -0.29
Magnetic moment, μB/f.u.: 0.00
DOS(E_F), states/eV per cell: 12.37

[5]
Computed, not measured: a relaxed Dy10Ho4Tm crystal at the GGA-PBE level of DFT.

a = 9.3396 Å, b = 9.3396 Å, c = 9.3396 Å
α = 99.59°, β = 99.59°, γ = 131.82°
Last column: nearest neighbours and their distance in Å.
Fractional coordinates of all 15 atoms:
1 Dy 0.0504 0.1511 0.7006  1 Tm 3.30, 3 Ho 3.30
2 Dy 0.1511 0.4505 0.1007  1 Tm 3.30, 3 Ho 3.30
3 Dy 0.2500 0.7500 0.5000  4 Ho 3.31
4 Dy 0.3498 0.0504 0.8993  1 Tm 3.30, 3 Ho 3.30
5 Dy 0.4505 0.3498 0.2994  1 Tm 3.30, 3 Ho 3.30
6 Dy 0.5495 0.6502 0.7006  1 Tm 3.30, 3 Ho 3.30
7 Dy 0.6502 0.9496 0.1007  1 Tm 3.30, 3 Ho 3.30
8 Dy 0.7500 0.2500 0.5000  4 Ho 3.31
9 Dy 0.8489 0.5495 0.8993  1 Tm 3.30, 3 Ho 3.30
10 Dy 0.9496 0.8489 0.2994  1 Tm 3.30, 3 Ho 3.30
11 Ho 0.1005 0.2994 0.3999  8 Dy 3.30-3.31
12 Ho 0.2994 0.8995 0.1989  8 Dy 3.30-3.31
13 Ho 0.7006 0.1005 0.8011  8 Dy 3.30-3.31
14 Ho 0.8995 0.7006 0.6001  8 Dy 3.30-3.31
15 Tm 0.5000 0.5000 0.0000  8 Dy 3.30

Formation energy from the elements, eV/atom: 0.72
Magnetic moment, μB/f.u.: 0.00
DOS(E_F), states/eV per cell: 15.46

[6]
Computed, not measured: a relaxed Mn2BeTe crystal at the GGA-PBE level of DFT.

a = 3.3892 Å, b = 3.4954 Å, c = 5.5546 Å
α = 90.00°, β = 107.21°, γ = 90.00°
Last column: nearest neighbours and their distance in Å.
Fractional coordinates of all 4 atoms:
1 Mn 0.0000 0.0000 0.0000  1 Be 2.20
2 Mn 0.3644 0.5000 0.7190  4 Be 2.54, 1 Te 2.80
3 Be 0.7996 0.0000 0.5853  1 Mn 2.20
4 Te 0.6204 0.5000 0.2460  2 Be 2.51, 5 Mn 2.76-2.80

Excess energy over the best structure of this formula in the dataset, eV/f.u.: 0.22
Magnetic moment, μB/f.u.: 6.57
DOS(E_F), states/eV per cell: 1.99
Uncorrected formation energy, eV per atom: 0.34

[7]
Computed, not measured: a relaxed In2Fe2Se crystal at the GGA-PBE level of DFT.

a = 6.8522 Å, b = 6.8522 Å, c = 6.8522 Å
α = 146.08°, β = 146.08°, γ = 48.73°
Last column: nearest neighbours and their distance in Å.
Fractional coordinates of all 5 atoms:
1 In 0.2500 0.7500 0.5000  4 Fe 2.81, 4 In 2.83
2 In 0.7500 0.2500 0.5000  4 Fe 2.81, 4 In 2.83
3 Fe 0.0916 0.0916 0.0000  1 Fe 2.29
4 Fe 0.9084 0.9084 0.0000  1 Fe 2.29
5 Se 0.5000 0.5000 0.0000  8 Fe 3.05

Excess energy over the best structure of this formula in the dataset, eV/f.u.: 1.56
Magnetic moment, μB/f.u.: 5.46
DOS(E_F), states/eV per cell: 4.05
Uncorrected formation energy, eV per atom: 0.50

[8]
Computed, not measured: a relaxed PdI2NO crystal at the GGA-PBE level of DFT.

a = 5.6020 Å, b = 5.6020 Å, c = 3.6803 Å
α = 90.00°, β = 90.00°, γ = 90.00°
Last column: nearest neighbours and their distance in Å.
Fractional coordinates of all 5 atoms:
1 Pd 0.0000 0.0000 0.0000  2 N 1.84
2 I 0.0000 0.5000 0.0000  2 Pd 2.80
3 I 0.5000 0.0000 0.0000  2 Pd 2.80
4 N 0.0000 0.0000 0.5000  2 Pd 1.84
5 O 0.5000 0.5000 0.5000  8 I 3.35, 2 O 3.68

Excess energy over the best structure of this formula in the dataset, eV/f.u.: 0.60
Magnetic moment, μB/f.u.: 0.00
DOS(E_F), states/eV per cell: 7.79
Uncorrected formation energy, eV per atom: 1.24

[9]
Computed, not measured: a relaxed SrCdSn2Rh crystal at the GGA-PBE level of DFT.

a = 5.1667 Å, b = 5.1667 Å, c = 5.2244 Å
α = 90.00°, β = 90.00°, γ = 90.00°
Last column: nearest neighbours and their distance in Å.
Fractional coordinates of all 5 atoms:
1 Sr 0.0000 0.0000 0.0000  4 Cd 3.65, 8 Sn 3.67
2 Cd 0.5000 0.5000 0.0000  2 Rh 2.61
3 Sn 0.0000 0.5000 0.5000  2 Rh 2.58
4 Sn 0.5000 0.0000 0.5000  2 Rh 2.58
5 Rh 0.5000 0.5000 0.5000  4 Sn 2.58, 2 Cd 2.61

Formation energy from the elements, eV/atom: -0.30
Magnetic moment, μB/f.u.: 0.00
DOS(E_F), states/eV per cell: 3.45

[10]
Computed, not measured: a relaxed TiNbZnP2 crystal at the GGA-PBE level of DFT.

a = 4.4918 Å, b = 4.4918 Å, c = 4.5491 Å
α = 90.00°, β = 90.00°, γ = 90.00°
Last column: nearest neighbours and their distance in Å.
Fractional coordinates of all 5 atoms:
1 Ti 0.0000 0.0000 0.0000  2 Zn 2.27
2 Nb 0.5000 0.5000 0.0000  4 Ti 3.18, 8 P 3.20
3 Zn 0.0000 0.0000 0.5000  4 P 2.25, 2 Ti 2.27
4 P 0.0000 0.5000 0.5000  2 Zn 2.25
5 P 0.5000 0.0000 0.5000  2 Zn 2.25

Formation energy from the elements, eV/atom: 0.98
Magnetic moment, μB/f.u.: 0.00
DOS(E_F), states/eV per cell: 5.12